# 1
The following is a GGA-PBE calculation of a relaxed PrErCd2 crystal, from Alexandria.

Results
Energy relative to the lowest polymorph listed for this composition, meV/atom: 0
Space group: P4/mmm

Lattice parameters (Å, degrees): 3.7402 3.7402 7.8368 90.00 90.00 90.00
Positions (direct):
Pr 0.0000 0.0000 0.0000
Er 0.0000 0.0000 0.5000
Cd 0.5000 0.5000 0.2718
Cd 0.5000 0.5000 0.7282

# 2
The following is a GGA-PBE calculation of a relaxed Pr6ErCd5 crystal, from Alexandria.

Results
E_tot, eV per atom: -3.38
Space group: Immm

Lattice parameters (Å, degrees): 9.5900 9.5900 9.5900 146.70 131.82 59.83
Positions (direct):
Pr 0.0736 0.3294 0.7442
Pr 0.2350 0.0000 0.2350
Pr 0.4148 0.6706 0.7442
Pr 0.5852 0.3294 0.2558
Pr 0.7650 0.0000 0.7650
Pr 0.9264 0.6706 0.2558
Er 0.5000 0.5000 0.0000
Cd 0.0000 0.5000 0.5000
Cd 0.1678 0.1678 0.0000
Cd 0.3445 0.8445 0.5000
Cd 0.6555 0.1555 0.5000
Cd 0.8322 0.8322 0.0000

# 3
The following is a GGA-PBE calculation of a relaxed Pr6Er2Cd crystal, from Alexandria.

Results
E_tot, eV per atom: -4.32
Space group: P-1

Lattice parameters (Å, degrees): 6.3860 6.7561 14.3015 96.85 102.10 90.39
Positions (direct):
Pr 0.0407 0.3428 0.3876
Pr 0.0772 0.3993 0.8347
Pr 0.1274 0.1465 0.6172
Pr 0.1890 0.1975 0.0669
Pr 0.3702 0.7033 0.0579
Pr 0.4074 0.7519 0.5032
Pr 0.5926 0.2481 0.4968
Pr 0.6298 0.2967 0.9421
Pr 0.8110 0.8025 0.9331
Pr 0.8726 0.8535 0.3828
Pr 0.9228 0.6007 0.1653
Pr 0.9593 0.6572 0.6124
Er 0.2595 0.9060 0.8295
Er 0.4693 0.4789 0.2789
Er 0.5307 0.5211 0.7211
Er 0.7405 0.0940 0.1705
Cd 0.3294 0.9762 0.2788
Cd 0.6706 0.0238 0.7212

# 4
The following is a GGA-PBE calculation of a relaxed Pr8Er5Cd crystal, from Alexandria.

Results
E_tot, eV per atom: -4.29
Space group: C2

Lattice parameters (Å, degrees): 8.5829 8.5829 9.1581 121.10 121.10 63.38
Positions (direct):
Pr 0.0687 0.0687 0.4168
Pr 0.2053 0.3307 0.9547
Pr 0.4567 0.1943 0.3494
Pr 0.5171 0.0116 0.6558
Pr 0.6693 0.7947 0.0453
Pr 0.8057 0.5433 0.6506
Pr 0.9313 0.9313 0.5832
Pr 0.9884 0.4829 0.3442
Er 0.0727 0.9273 0.0000
Er 0.3235 0.5086 0.7604
Er 0.4914 0.6765 0.2396
Er 0.6803 0.2157 0.1186
Er 0.7843 0.3197 0.8814
Cd 0.3354 0.6646 0.5000